A plane-wave DFT calculation with GGA-PBE was carried out for a geometry-optimized BaAcMgCd structure.

Results
The excess energy over the best structure of this formula in the dataset comes out at 0 meV per atom. Its crystal system is tetragonal. The total energy is -0.1705 Ry/atom.

```
data_BaAcMgCd
_chemical_formula_sum 'Ba1 Ac1 Mg1 Cd1'
_space_group_name_H-M_alt 'P 4 m m'
_space_group_IT_number 99
_cell_length_a 4.1905
_cell_length_b 4.1905
_cell_length_c 8.4423
_cell_angle_alpha 90.00
_cell_angle_beta 90.00
_cell_angle_gamma 90.00
loop_
_space_group_symop_operation_xyz
'x,y,z'
'-y,x,z'
'-x,-y,z'
'y,-x,z'
'-x,y,z'
'y,x,z'
'x,-y,z'
'-y,-x,z'
loop_
_atom_site_label
_atom_site_type_symbol
_atom_site_fract_x
_atom_site_fract_y
_atom_site_fract_z
Ba1 Ba 0.0000 0.0000 0.0000
Ac1 Ac 0.0000 0.0000 0.5119
Mg1 Mg 0.5000 0.5000 0.2768
Cd1 Cd 0.5000 0.5000 0.7338
```


A plane-wave DFT calculation with GGA-PBE was carried out for a geometry-optimized BaAcMgCd structure.

Results
The excess energy over the best structure of this formula in the dataset comes out at 31 meV per atom. Its crystal system is cubic. The total energy is -0.1682 Ry/atom.

```
data_BaAcMgCd
_chemical_formula_sum 'Ba4 Ac4 Mg4 Cd4'
_space_group_name_H-M_alt 'F -4 3 m'
_space_group_IT_number 216
_space_group_name_Hall 'F -4 2 3'
_cell_length_a 8.3774
_cell_length_b 8.3774
_cell_length_c 8.3774
_cell_angle_alpha 90.00
_cell_angle_beta 90.00
_cell_angle_gamma 90.00
loop_
_atom_site_label
_atom_site_type_symbol
_atom_site_fract_x
_atom_site_fract_y
_atom_site_fract_z
Ba1 Ba 0.0000 0.0000 0.0000
Ac1 Ac 0.0000 0.0000 0.5000
Mg1 Mg 0.2500 0.2500 0.2500
Cd1 Cd 0.2500 0.2500 0.7500
```


Question: Which of these has the highest excess energy over the best structure of this formula in the dataset?
Answer: number 2